Entry 1:
Computed, not measured: an optimized crystal structure of Li2Mn3SnO8 at the PBE with a Hubbard U level of DFT.

Unit cell a=8.396 b=8.431 c=8.960 alpha=90.00 beta=90.00 gamma=90.00
Element x y z (fractional)
Li (0.002, 0.000, 0.006)
Li (0.248, 0.752, 0.749)
Li (0.252, 0.248, 0.249)
Li (0.498, 0.000, 0.506)
Li (0.502, 0.500, 0.994)
Li (0.748, 0.748, 0.251)
Li (0.752, 0.252, 0.751)
Li (0.998, 0.500, 0.494)
Mn (0.121, 0.364, 0.883)
Mn (0.123, 0.118, 0.627)
Mn (0.131, 0.877, 0.375)
Mn (0.369, 0.123, 0.875)
Mn (0.377, 0.882, 0.127)
Mn (0.379, 0.636, 0.383)
Mn (0.621, 0.136, 0.117)
Mn (0.623, 0.382, 0.373)
Mn (0.631, 0.623, 0.625)
Mn (0.869, 0.377, 0.125)
Mn (0.877, 0.618, 0.873)
Mn (0.879, 0.864, 0.617)
Sn (0.127, 0.622, 0.130)
Sn (0.373, 0.378, 0.630)
Sn (0.627, 0.878, 0.870)
Sn (0.873, 0.122, 0.370)
O (0.102, 0.379, 0.130)
O (0.112, 0.604, 0.892)
O (0.114, 0.883, 0.596)
O (0.122, 0.105, 0.378)
O (0.127, 0.352, 0.630)
O (0.140, 0.134, 0.875)
O (0.141, 0.872, 0.153)
O (0.144, 0.644, 0.368)
O (0.356, 0.356, 0.868)
O (0.359, 0.128, 0.653)
O (0.360, 0.866, 0.375)
O (0.373, 0.648, 0.130)
O (0.378, 0.895, 0.878)
O (0.386, 0.117, 0.096)
O (0.388, 0.396, 0.392)
O (0.398, 0.621, 0.630)
O (0.602, 0.121, 0.870)
O (0.612, 0.896, 0.108)
O (0.614, 0.617, 0.404)
O (0.622, 0.395, 0.622)
O (0.627, 0.148, 0.370)
O (0.640, 0.366, 0.125)
O (0.641, 0.628, 0.847)
O (0.644, 0.856, 0.632)
O (0.856, 0.144, 0.132)
O (0.859, 0.372, 0.347)
O (0.860, 0.634, 0.625)
O (0.873, 0.852, 0.870)
O (0.878, 0.605, 0.122)
O (0.886, 0.383, 0.904)
O (0.888, 0.104, 0.608)
O (0.898, 0.879, 0.370)

Properties
- size of the total moment (μB per atom) = 0.786
- relative energy among the computed polymorphs (meV per atom) = 14
- ρ (Mg/m³) = 4.46

***

Entry 2:
Computed, not measured: an optimized crystal structure of Li2MnSnO4 at the PBE with a Hubbard U level of DFT.

Unit cell a=6.269 b=6.269 c=6.269 alpha=120.37 beta=120.10 gamma=89.60
Element x y z (fractional)
Li (0.000, 0.000, 0.000)
Li (0.500, 0.000, 0.000)
Li (0.500, 0.000, 0.500)
Li (0.500, 0.500, 0.500)
Mn (0.000, 0.000, 0.500)
Mn (0.000, 0.500, 0.000)
Sn (0.000, 0.500, 0.500)
Sn (0.500, 0.500, 0.000)
O (0.229, 0.732, 0.497)
O (0.252, 0.265, 0.513)
O (0.252, 0.739, 0.987)
O (0.265, 0.268, 0.997)
O (0.735, 0.732, 0.003)
O (0.748, 0.261, 0.013)
O (0.748, 0.735, 0.487)
O (0.771, 0.268, 0.503)

Properties
- size of the total moment (μB per atom) = 0.625
- relative energy among the computed polymorphs (meV per atom) = 14
- ρ (Mg/m³) = 4.81

***

Entry 3:
Computed, not measured: an optimized crystal structure of Li2Mn3SnO8 at the PBE with a Hubbard U level of DFT.

Unit cell a=6.072 b=6.072 c=10.705 alpha=107.48 beta=107.48 gamma=59.15
Element x y z (fractional)
Li (0.055, 0.577, 0.686)
Li (0.423, 0.945, 0.814)
Li (0.577, 0.055, 0.186)
Li (0.945, 0.423, 0.314)
Mn (0.000, 0.000, 0.000)
Mn (0.000, 0.000, 0.500)
Mn (0.000, 0.500, 0.000)
Mn (0.500, 0.000, 0.500)
Mn (0.500, 0.500, 0.000)
Mn (0.500, 0.500, 0.500)
Sn (0.264, 0.736, 0.250)
Sn (0.736, 0.264, 0.750)
O (0.088, 0.155, 0.886)
O (0.149, 0.652, 0.896)
O (0.155, 0.088, 0.386)
O (0.169, 0.606, 0.374)
O (0.348, 0.851, 0.604)
O (0.365, 0.391, 0.104)
O (0.391, 0.365, 0.604)
O (0.394, 0.831, 0.126)
O (0.606, 0.169, 0.874)
O (0.609, 0.635, 0.396)
O (0.635, 0.609, 0.896)
O (0.652, 0.149, 0.396)
O (0.831, 0.394, 0.626)
O (0.845, 0.912, 0.614)
O (0.851, 0.348, 0.104)
O (0.912, 0.845, 0.114)

Properties
- size of the total moment (μB per atom) = 0.786
- relative energy among the computed polymorphs (meV per atom) = 16
- ρ (Mg/m³) = 4.44

***

Entry 4:
Computed, not measured: an optimized crystal structure of LiMnSn2O6 at the PBE with a Hubbard U level of DFT.

Unit cell a=5.235 b=5.241 c=5.611 alpha=62.22 beta=89.96 gamma=60.20
Element x y z (fractional)
Li (0.000, 0.000, 0.000)
Mn (0.475, 0.051, 0.423)
Sn (0.274, 0.454, 0.821)
Sn (0.782, 0.437, 0.344)
O (0.090, 0.523, 0.147)
O (0.201, 0.940, 0.627)
O (0.391, 0.941, 0.149)
O (0.570, 0.231, 0.631)
O (0.670, 0.242, 0.147)
O (0.864, 0.571, 0.627)

Properties
- size of the total moment (μB per atom) = 0.200
- energy (eV per cell) = -62.78
- ρ (Mg/m³) = 5.82